Ta2BeCu at its PBEsol-relaxed geometry, computed with meta-GGA SCAN.

a b c (Å): 2.753 2.753 7.259
angles (deg): 90.00 90.00 90.00
Space group P4mm (No. 99)
Unique sites:
Ta (0.000, 0.000, 0.000)
Ta (0.500, 0.500, 0.322)
Be (0.000, 0.000, 0.566)
Cu (0.500, 0.500, 0.731)

Computed properties:
**E_form**: -14.2 kJ/mol of formula units
**M_tot**: 0.00 μB/cell